Entry 1:
Compound: Mg5H10C4O18
Source: the Alexandria database
Functional: PBEsol
Structure: relaxed

Calculated values
The calculated volume is 690 Å³ per cell. Its symmetry is P2_1/c (14). For the total energy, the calculation gives -6.41 eV/atom. As for the total magnetic moment: 0.0000 μB per atom. The calculation puts the density of states at the Fermi level at 0.00 states/eV/cell.

Cell lengths 10.0279, 9.0952, 8.3117 Å; angles 90.00, 114.39, 90.00 degrees
Closest atoms and distances in Å follow each position.
Sites, in units of the cell vectors:
Mg 0.0000 0.0000 0.0000  6 O 2.03-2.06
Mg 0.0000 0.5000 0.5000  6 O 2.03-2.06
Mg 0.3448 0.0658 0.9907  6 O 2.05-2.19
Mg 0.3454 0.0666 0.3620  6 O 2.04-2.16
Mg 0.3454 0.4334 0.8620  6 O 2.04-2.16
Mg 0.3448 0.4342 0.4907  6 O 2.05-2.19
Mg 0.6552 0.5658 0.5093  6 O 2.05-2.19
Mg 0.6546 0.5666 0.1380  6 O 2.04-2.16
Mg 0.6546 0.9334 0.6380  6 O 2.04-2.16
Mg 0.6552 0.9342 0.0093  6 O 2.05-2.19
H 0.1365 0.6000 0.8659  1 O 1.02
H 0.1365 0.9000 0.3659  1 O 1.02
H 0.1452 0.6320 0.3039  1 O 1.03
H 0.1452 0.8680 0.8039  1 O 1.03
H 0.2348 0.6250 0.6227  1 O 0.98
H 0.2348 0.8750 0.1227  1 O 0.98
H 0.2369 0.5847 0.0797  1 O 0.99
H 0.2369 0.9153 0.5797  1 O 0.99
H 0.3064 0.6939 0.3580  1 O 0.99
H 0.3064 0.8061 0.8580  1 O 0.99
H 0.6936 0.1939 0.1420  1 O 0.99
H 0.6936 0.3061 0.6420  1 O 0.99
H 0.7631 0.0847 0.4203  1 O 0.99
H 0.7631 0.4153 0.9203  1 O 0.99
H 0.7652 0.1250 0.8773  1 O 0.98
H 0.7652 0.3750 0.3773  1 O 0.98
H 0.8548 0.1320 0.1961  1 O 1.03
H 0.8548 0.3680 0.6961  1 O 1.03
H 0.8635 0.1000 0.6341  1 O 1.02
H 0.8635 0.4000 0.1341  1 O 1.02
C 0.0784 0.2396 0.7788  3 O 1.28-1.30
C 0.0784 0.2604 0.2788  3 O 1.28-1.30
C 0.4735 0.1700 0.7376  3 O 1.28-1.30
C 0.4735 0.3300 0.2376  3 O 1.28-1.30
C 0.5265 0.6700 0.7624  3 O 1.28-1.30
C 0.5265 0.8300 0.2624  3 O 1.28-1.30
C 0.9216 0.7396 0.7212  3 O 1.28-1.30
C 0.9216 0.7604 0.2212  3 O 1.28-1.30
O 0.0025 0.1591 0.1730  1 C 1.28
O 0.0025 0.3409 0.6730  1 C 1.28
O 0.0102 0.1306 0.8074  1 C 1.28
O 0.0102 0.3694 0.3074  1 C 1.28
O 0.2205 0.2457 0.8547  1 C 1.30
O 0.2205 0.2543 0.3547  1 C 1.30
O 0.2247 0.5182 0.6172  1 H 0.98
O 0.2247 0.9818 0.1172  1 H 0.98
O 0.2380 0.5780 0.9608  2 H 0.99-1.02
O 0.2380 0.9220 0.4608  2 H 0.99-1.02
O 0.2438 0.6097 0.2977  2 H 0.99-1.03
O 0.2438 0.8903 0.7977  2 H 0.99-1.03
O 0.4291 0.1960 0.2166  1 C 1.28
O 0.4291 0.3040 0.7166  1 C 1.28
O 0.4945 0.1006 0.8825  1 C 1.30
O 0.4945 0.3994 0.3825  1 C 1.30
O 0.4998 0.1053 0.6149  1 C 1.30
O 0.4998 0.3947 0.1149  1 C 1.30
O 0.5002 0.6053 0.8851  1 C 1.30
O 0.5002 0.8947 0.3851  1 C 1.30
O 0.5055 0.6006 0.6175  1 C 1.30
O 0.5055 0.8994 0.1175  1 C 1.30
O 0.5709 0.6960 0.2834  1 C 1.28
O 0.5709 0.8040 0.7834  1 C 1.28
O 0.7562 0.1097 0.2023  2 H 0.99-1.03
O 0.7562 0.3903 0.7023  2 H 0.99-1.03
O 0.7620 0.0780 0.5392  2 H 0.99-1.02
O 0.7620 0.4220 0.0392  2 H 0.99-1.02
O 0.7753 0.0182 0.8828  1 H 0.98
O 0.7753 0.4818 0.3828  1 H 0.98
O 0.7795 0.7457 0.6453  1 C 1.30
O 0.7795 0.7543 0.1453  1 C 1.30
O 0.9898 0.6306 0.6926  1 C 1.28
O 0.9898 0.8694 0.1926  1 C 1.28
O 0.9975 0.6591 0.3270  1 C 1.28
O 0.9975 0.8409 0.8270  1 C 1.28


Entry 2:
Compound: MgH6CO6
Source: the Alexandria database
Functional: PBEsol
Structure: relaxed

Calculated values
The calculated volume is 476 Å³ per cell. Its symmetry is P2_1/c (14). For the total energy, the calculation gives -5.89 eV/atom. As for the total magnetic moment: 0.0000 μB per atom. The calculation puts the density of states at the Fermi level at 0.00 states/eV/cell.

Cell lengths 7.5700, 5.3928, 13.6821 Å; angles 90.00, 121.55, 90.00 degrees
Closest atoms and distances in Å follow each position.
Sites, in units of the cell vectors:
Mg 0.1145 0.0798 0.3535  6 O 2.02-2.16
Mg 0.1145 0.4202 0.8535  6 O 2.02-2.16
Mg 0.8855 0.5798 0.1465  6 O 2.02-2.16
Mg 0.8855 0.9202 0.6465  6 O 2.02-2.16
H 0.1766 0.6326 0.0797  1 O 1.00
H 0.1766 0.8674 0.5797  1 O 1.00
H 0.2818 0.5863 0.2147  1 O 1.00
H 0.2818 0.9137 0.7147  1 O 1.00
H 0.3712 0.1235 0.0878  1 O 1.02
H 0.3712 0.3765 0.5878  1 O 1.02
H 0.3988 0.1664 0.2139  1 O 1.00
H 0.3988 0.3336 0.7139  1 O 1.00
H 0.4241 0.5853 0.8298  1 O 1.02
H 0.4241 0.9147 0.3298  1 O 1.02
H 0.4982 0.1637 0.4004  1 O 1.01
H 0.4982 0.3363 0.9004  1 O 1.01
H 0.5018 0.6637 0.0996  1 O 1.01
H 0.5018 0.8363 0.5996  1 O 1.01
H 0.5759 0.0853 0.6702  1 O 1.02
H 0.5759 0.4147 0.1702  1 O 1.02
H 0.6012 0.6664 0.2861  1 O 1.00
H 0.6012 0.8336 0.7861  1 O 1.00
H 0.6288 0.6235 0.4122  1 O 1.02
H 0.6288 0.8765 0.9122  1 O 1.02
H 0.7182 0.0863 0.2853  1 O 1.00
H 0.7182 0.4137 0.7853  1 O 1.00
H 0.8234 0.1326 0.4203  1 O 1.00
H 0.8234 0.3674 0.9203  1 O 1.00
C 0.1839 0.6270 0.4167  3 O 1.28-1.31
C 0.1839 0.8730 0.9167  3 O 1.28-1.31
C 0.8161 0.1270 0.0833  3 O 1.28-1.31
C 0.8161 0.3730 0.5833  3 O 1.28-1.31
O 0.0726 0.6913 0.3105  1 C 1.29
O 0.0726 0.8087 0.8105  1 C 1.29
O 0.1480 0.5768 0.1397  2 H 1.00
O 0.1480 0.9232 0.6397  2 H 1.00
O 0.2220 0.0992 0.9500  1 C 1.28
O 0.2220 0.4008 0.4500  1 C 1.28
O 0.2589 0.6895 0.9898  1 C 1.31
O 0.2589 0.8105 0.4898  1 C 1.31
O 0.3703 0.0861 0.3342  2 H 1.01-1.02
O 0.3703 0.4139 0.8342  2 H 1.01-1.02
O 0.4741 0.1613 0.1719  2 H 1.00-1.02
O 0.4741 0.3387 0.6719  2 H 1.00-1.02
O 0.5259 0.6613 0.3281  2 H 1.00-1.02
O 0.5259 0.8387 0.8281  2 H 1.00-1.02
O 0.6297 0.5861 0.1658  2 H 1.01-1.02
O 0.6297 0.9139 0.6658  2 H 1.01-1.02
O 0.7411 0.1895 0.5102  1 C 1.31
O 0.7411 0.3105 0.0102  1 C 1.31
O 0.7780 0.5992 0.5500  1 C 1.28
O 0.7780 0.9008 0.0500  1 C 1.28
O 0.8520 0.0768 0.3603  2 H 1.00
O 0.8520 0.4232 0.8603  2 H 1.00
O 0.9274 0.1913 0.1895  1 C 1.29
O 0.9274 0.3087 0.6895  1 C 1.29


Entry 3:
Compound: Rb2MgH8C2O10
Source: the Alexandria database
Functional: PBEsol
Structure: relaxed

Calculated values
The calculated volume is 497 Å³ per cell. Its symmetry is P2_1/c (14). For the total energy, the calculation gives -5.93 eV/atom. As for the total magnetic moment: 0.0000 μB per atom. The calculation puts the density of states at the Fermi level at 0.00 states/eV/cell.

Cell lengths 7.1126, 6.3997, 12.1286 Å; angles 90.00, 115.85, 90.00 degrees
Closest atoms and distances in Å follow each position.
Sites, in units of the cell vectors:
Rb 0.2409 0.1465 0.3254  6 O 2.85-3.11, 3 H 3.02-3.06
Rb 0.2409 0.3535 0.8254  6 O 2.85-3.11, 3 H 3.02-3.06
Rb 0.7591 0.6465 0.1746  6 O 2.85-3.11, 3 H 3.02-3.06
Rb 0.7591 0.8535 0.6746  6 O 2.85-3.11, 3 H 3.02-3.06
Mg 0.0000 0.0000 0.0000  6 O 2.07-2.11
Mg 0.0000 0.5000 0.5000  6 O 2.07-2.11
H 0.2061 0.6539 0.3679  1 O 1.02
H 0.2061 0.7047 0.9838  1 O 1.03
H 0.2061 0.7953 0.4838  1 O 1.03
H 0.2061 0.8461 0.8679  1 O 1.02
H 0.2937 0.1734 0.5896  1 O 1.01
H 0.2937 0.3266 0.0896  1 O 1.01
H 0.4264 0.1139 0.1229  1 O 1.01
H 0.4264 0.3861 0.6229  1 O 1.01
H 0.5736 0.6139 0.3771  1 O 1.01
H 0.5736 0.8861 0.8771  1 O 1.01
H 0.7063 0.6734 0.9104  1 O 1.01
H 0.7063 0.8266 0.4104  1 O 1.01
H 0.7939 0.1539 0.1321  1 O 1.02
H 0.7939 0.2047 0.5162  1 O 1.03
H 0.7939 0.2953 0.0162  1 O 1.03
H 0.7939 0.3461 0.6321  1 O 1.02
C 0.2526 0.6515 0.1807  3 O 1.29-1.31
C 0.2526 0.8485 0.6807  3 O 1.29-1.31
C 0.7474 0.1515 0.3193  3 O 1.29-1.31
C 0.7474 0.3485 0.8193  3 O 1.29-1.31
O 0.1177 0.7024 0.4104  2 H 1.02-1.03
O 0.1177 0.7976 0.9104  2 H 1.02-1.03
O 0.1206 0.6971 0.6497  1 C 1.29
O 0.1206 0.8029 0.1497  1 C 1.29
O 0.2821 0.1709 0.0722  2 H 1.01
O 0.2821 0.3291 0.5722  2 H 1.01
O 0.3174 0.5759 0.1034  1 C 1.31
O 0.3174 0.9241 0.6034  1 C 1.31
O 0.3226 0.5712 0.2898  1 C 1.30
O 0.3226 0.9288 0.7898  1 C 1.30
O 0.6774 0.0712 0.2102  1 C 1.30
O 0.6774 0.4288 0.7102  1 C 1.30
O 0.6826 0.0759 0.3966  1 C 1.31
O 0.6826 0.4241 0.8966  1 C 1.31
O 0.7179 0.6709 0.4278  2 H 1.01
O 0.7179 0.8291 0.9278  2 H 1.01
O 0.8794 0.1971 0.8503  1 C 1.29
O 0.8794 0.3029 0.3503  1 C 1.29
O 0.8823 0.2024 0.0896  2 H 1.02-1.03
O 0.8823 0.2976 0.5896  2 H 1.02-1.03


Entry 4:
Compound: MgH30C2S2O18
Source: the Alexandria database
Functional: PBEsol
Structure: relaxed

Calculated values
The calculated volume is 497 Å³ per cell. Its symmetry is R-3 (148). For the total energy, the calculation gives -5.27 eV/atom. As for the total magnetic moment: 0.0053 μB per atom. The calculation puts the density of states at the Fermi level at 0.00 states/eV/cell.

Cell lengths 8.7028, 8.7028, 8.7028 Å; angles 62.97, 62.97, 62.97 degrees
Closest atoms and distances in Å follow each position.
Sites, in units of the cell vectors:
Mg 0.0000 0.0000 0.0000  6 O 2.07
H 0.0599 0.6128 0.7187  1 O 1.00
H 0.0743 0.1240 0.6358  1 O 0.99
H 0.1240 0.6358 0.0743  1 O 0.99
H 0.1336 0.7104 0.8659  1 O 1.00
H 0.1341 0.8664 0.2896  1 O 1.00
H 0.2244 0.6982 0.5780  1 O 1.02
H 0.2678 0.4022 0.4969  1 C 1.10
H 0.2813 0.9401 0.3872  1 O 1.00
H 0.2896 0.1341 0.8664  1 O 1.00
H 0.3018 0.4220 0.7756  1 O 1.02
H 0.3642 0.9257 0.8760  1 O 0.99
H 0.3872 0.2813 0.9401  1 O 1.00
H 0.4022 0.4969 0.2678  1 C 1.10
H 0.4220 0.7756 0.3018  1 O 1.02
H 0.4969 0.2678 0.4022  1 C 1.10
H 0.5031 0.7322 0.5978  1 C 1.10
H 0.5780 0.2244 0.6982  1 O 1.02
H 0.5978 0.5031 0.7322  1 C 1.10
H 0.6128 0.7187 0.0599  1 O 1.00
H 0.6358 0.0743 0.1240  1 O 0.99
H 0.6982 0.5780 0.2244  1 O 1.02
H 0.7104 0.8659 0.1336  1 O 1.00
H 0.7187 0.0599 0.6128  1 O 1.00
H 0.7322 0.5978 0.5031  1 C 1.10
H 0.7756 0.3018 0.4220  1 O 1.02
H 0.8659 0.1336 0.7104  1 O 1.00
H 0.8664 0.2896 0.1341  1 O 1.00
H 0.8760 0.3642 0.9257  1 O 0.99
H 0.9257 0.8760 0.3642  1 O 0.99
H 0.9401 0.3872 0.2813  1 O 1.00
C 0.3727 0.3727 0.3727  3 H 1.10
C 0.6273 0.6273 0.6273  3 H 1.10
S 0.2884 0.2884 0.2884  3 O 1.47
S 0.7116 0.7116 0.7116  3 O 1.47
O 0.0332 0.8800 0.2539  2 H 0.99-1.00
O 0.1200 0.7461 0.9668  2 H 0.99-1.00
O 0.1218 0.4309 0.2509  1 S 1.47
O 0.1754 0.6212 0.7082  2 H 1.00-1.02
O 0.2509 0.1218 0.4309  1 S 1.47
O 0.2539 0.0332 0.8800  2 H 0.99-1.00
O 0.2918 0.8246 0.3788  2 H 1.00-1.02
O 0.3788 0.2918 0.8246  2 H 1.00-1.02
O 0.4309 0.2509 0.1218  1 S 1.47
O 0.5691 0.7491 0.8782  1 S 1.47
O 0.6212 0.7082 0.1754  2 H 1.00-1.02
O 0.7082 0.1754 0.6212  2 H 1.00-1.02
O 0.7461 0.9668 0.1200  2 H 0.99-1.00
O 0.7491 0.8782 0.5691  1 S 1.47
O 0.8246 0.3788 0.2918  2 H 1.00-1.02
O 0.8782 0.5691 0.7491  1 S 1.47
O 0.8800 0.2539 0.0332  2 H 0.99-1.00
O 0.9668 0.1200 0.7461  2 H 0.99-1.00


Entry 5:
Compound: MnSn4H24C8Se10N2
Source: the Alexandria database
Functional: PBEsol
Structure: relaxed

Calculated values
The calculated volume is 746 Å³ per cell. Its symmetry is I-4 (82). For the total energy, the calculation gives -5.07 eV/atom. As for the total magnetic moment: 0.1020 μB per atom.

Cell lengths 10.3868, 10.3868, 10.3868 Å; angles 123.51, 123.51, 84.03 degrees
Closest atoms and distances in Å follow each position.
Sites, in units of the cell vectors:
Mn 0.0000 0.0000 0.0000  4 Se 2.49
Sn 0.4676 0.2367 0.3904  4 Se 2.49-2.57
Sn 0.7633 0.1537 0.2309  4 Se 2.49-2.57
Sn 0.8463 0.0772 0.6096  4 Se 2.49-2.57
Sn 0.9228 0.5324 0.7691  4 Se 2.49-2.57
H 0.0136 0.7070 0.4162  1 C 1.10
H 0.0302 0.6802 0.2379  1 C 1.10
H 0.0629 0.5309 0.2840  1 C 1.10
H 0.2077 0.9698 0.6500  1 C 1.10
H 0.2211 0.9371 0.4680  1 C 1.10
H 0.2469 0.7789 0.7160  1 C 1.10
H 0.2598 0.3513 0.8081  1 C 1.10
H 0.2908 0.5974 0.5838  1 C 1.10
H 0.2930 0.7092 0.3066  1 C 1.10
H 0.3198 0.5577 0.3500  1 C 1.10
H 0.3378 0.6367 0.9461  1 C 1.10
H 0.3633 0.3094 0.7011  1 C 1.10
H 0.3953 0.5585 0.1434  1 C 1.10
H 0.4026 0.9864 0.6934  1 C 1.10
H 0.4151 0.2519 0.8566  1 C 1.10
H 0.4415 0.5849 0.8368  1 C 1.10
H 0.4423 0.7923 0.7621  1 C 1.10
H 0.4691 0.7531 0.5320  1 C 1.10
H 0.5432 0.4517 0.1919  1 C 1.10
H 0.5483 0.7402 0.0915  1 C 1.10
H 0.6083 0.6622 0.2989  1 C 1.10
H 0.6487 0.4568 0.9085  1 C 1.10
H 0.6906 0.3917 0.0539  1 C 1.10
H 0.7481 0.6047 0.1632  1 C 1.10
C 0.0756 0.6600 0.3476  3 H 1.10
C 0.2720 0.9244 0.5844  3 H 1.10
C 0.3124 0.7280 0.6524  3 H 1.10
C 0.3400 0.6876 0.4156  3 H 1.10
C 0.3754 0.3416 0.8285  3 H 1.10
C 0.4530 0.6246 0.9661  3 H 1.10
C 0.5131 0.5470 0.1715  3 H 1.10
C 0.6584 0.4869 0.0339  3 H 1.10
Se 0.0319 0.3632 0.8957  2 Sn 2.55-2.57
Se 0.1174 0.8031 0.0635  1 Mn 2.49, 1 Sn 2.49
Se 0.1969 0.2604 0.3143  1 Mn 2.49, 1 Sn 2.49
Se 0.4674 0.1362 0.1043  2 Sn 2.55-2.57
Se 0.5547 0.0547 0.5000  2 Sn 2.56
Se 0.6368 0.5326 0.6687  2 Sn 2.55-2.57
Se 0.7396 0.0539 0.9365  1 Mn 2.49, 1 Sn 2.49
Se 0.8638 0.9681 0.3313  2 Sn 2.55-2.57
Se 0.9453 0.4453 0.5000  2 Sn 2.56
Se 0.9461 0.8826 0.6857  1 Mn 2.49, 1 Sn 2.49
N 0.2500 0.7500 0.5000  4 C 1.49
N 0.5000 0.5000 0.0000  4 C 1.49


Entry 6:
Compound: Mn2PH2CO7
Source: the Alexandria database
Functional: PBEsol
Structure: relaxed

Calculated values
The calculated volume is 589 Å³ per cell. Its symmetry is P2_1/c (14). For the total energy, the calculation gives -7.53 eV/atom. As for the total magnetic moment: 0.7692 μB per atom.

Cell lengths 10.1153, 6.4787, 10.0156 Å; angles 90.00, 116.17, 90.00 degrees
Closest atoms and distances in Å follow each position.
Sites, in units of the cell vectors:
Mn 0.1178 0.1468 0.4751  6 O 2.10-2.22
Mn 0.1178 0.3532 0.9751  6 O 2.10-2.22
Mn 0.2357 0.5221 0.7320  5 O 2.09-2.19
Mn 0.2357 0.9779 0.2320  5 O 2.09-2.19
Mn 0.7643 0.0221 0.7680  5 O 2.09-2.19
Mn 0.7643 0.4779 0.2680  5 O 2.09-2.19
Mn 0.8822 0.6468 0.0249  6 O 2.10-2.22
Mn 0.8822 0.8532 0.5249  6 O 2.10-2.22
P 0.1028 0.6513 0.3935  4 O 1.54-1.56
P 0.1028 0.8487 0.8935  4 O 1.54-1.56
P 0.8972 0.1513 0.1065  4 O 1.54-1.56
P 0.8972 0.3487 0.6065  4 O 1.54-1.56
H 0.2581 0.0185 0.7679  1 O 1.01
H 0.2581 0.4815 0.2679  1 O 1.01
H 0.3783 0.1156 0.7208  1 O 1.00
H 0.3783 0.3844 0.2208  1 O 1.00
H 0.6217 0.6156 0.7792  1 O 1.00
H 0.6217 0.8844 0.2792  1 O 1.00
H 0.7419 0.5185 0.7321  1 O 1.01
H 0.7419 0.9815 0.2321  1 O 1.01
C 0.4584 0.0469 0.5407  2 O 1.26-1.27
C 0.4584 0.4531 0.0407  2 O 1.26-1.27
C 0.5416 0.5469 0.9593  2 O 1.26-1.27
C 0.5416 0.9531 0.4593  2 O 1.26-1.27
O 0.0452 0.0944 0.2405  1 P 1.55
O 0.0452 0.4056 0.7405  1 P 1.55
O 0.0772 0.6704 0.9838  1 P 1.56
O 0.0772 0.8296 0.4838  1 P 1.56
O 0.1596 0.0343 0.0043  1 P 1.56
O 0.1596 0.4657 0.5043  1 P 1.56
O 0.2168 0.7023 0.3352  1 P 1.54, 1 H 1.71
O 0.2168 0.7977 0.8352  1 P 1.54, 1 H 1.71
O 0.2777 0.1380 0.7142  2 H 1.00-1.01
O 0.2777 0.3620 0.2142  2 H 1.00-1.01
O 0.3262 0.0968 0.4597  1 C 1.26
O 0.3262 0.4032 0.9597  1 C 1.26
O 0.4737 0.5669 0.8193  1 C 1.27
O 0.4737 0.9331 0.3193  1 C 1.27
O 0.5263 0.0669 0.6807  1 C 1.27
O 0.5263 0.4331 0.1807  1 C 1.27
O 0.6738 0.5968 0.0403  1 C 1.26
O 0.6738 0.9032 0.5403  1 C 1.26
O 0.7223 0.6380 0.7858  2 H 1.00-1.01
O 0.7223 0.8620 0.2858  2 H 1.00-1.01
O 0.7832 0.2023 0.1648  1 P 1.54, 1 H 1.71
O 0.7832 0.2977 0.6648  1 P 1.54, 1 H 1.71
O 0.8404 0.5343 0.4957  1 P 1.56
O 0.8404 0.9657 0.9957  1 P 1.56
O 0.9228 0.1704 0.5162  1 P 1.56
O 0.9228 0.3296 0.0162  1 P 1.56
O 0.9548 0.5944 0.2595  1 P 1.55
O 0.9548 0.9056 0.7595  1 P 1.55